The following is a PBE calculation of a geometry-optimized Tl5Ge2Se6 structure, from Alexandria.

Cell lengths 13.200, 14.533, 4.329 Å; angles 90.00, 90.00, 90.00 degrees
Element x y z (fractional)
Tl: 0.000 0.000 0.000
Tl: 0.097 0.226 0.000
Tl: 0.132 0.559 0.000
Tl: 0.368 0.059 0.000
Tl: 0.403 0.726 0.000
Tl: 0.500 0.500 0.000
Tl: 0.597 0.274 0.000
Tl: 0.632 0.941 0.000
Tl: 0.868 0.441 0.000
Tl: 0.903 0.774 0.000
Ge: 0.229 0.882 0.500
Ge: 0.271 0.382 0.500
Ge: 0.729 0.618 0.500
Ge: 0.771 0.118 0.500
Se: 0.088 0.378 0.500
Se: 0.167 0.809 0.000
Se: 0.186 0.042 0.500
Se: 0.314 0.542 0.500
Se: 0.333 0.309 0.000
Se: 0.412 0.878 0.500
Se: 0.588 0.122 0.500
Se: 0.667 0.691 0.000
Se: 0.686 0.458 0.500
Se: 0.814 0.958 0.500
Se: 0.833 0.191 0.000
Se: 0.912 0.622 0.500

Output
SG: Pbam (55)
Total DFT energy (no corrections) in Ha/atom: -0.1318